1.
The following is a DFT calculation (meta-GGA SCAN) of a PBEsol-optimized structure of Nd7Se4Cl3O17.

Cell lengths 6.918, 9.360, 15.618 Å; angles 88.11, 81.87, 85.17 degrees
Space group P-1 (No. 2)
One atom of each set of equivalent atoms:
Nd 0.116 0.162 0.309 x2
Nd 0.121 0.994 0.866 x2
Nd 0.130 0.836 0.448 x2
Nd 0.329 0.637 0.753 x2
Nd 0.366 0.998 0.628 x2
Nd 0.371 0.843 0.191 x2
Nd 0.372 0.163 0.046 x2
Se 0.135 0.705 0.996 x2
Se 0.153 0.290 0.734 x2
Se 0.211 0.451 0.166 x2
Se 0.386 0.297 0.460 x2
Cl 0.214 0.604 0.582 x2
Cl 0.346 0.403 0.877 x2
Cl 0.377 0.603 0.329 x2
O 0.012 0.400 0.237 x2
O 0.037 0.145 0.997 x2
O 0.038 0.767 0.195 x2
O 0.079 0.959 0.575 x2
O 0.118 0.225 0.637 x2
O 0.161 0.237 0.462 x2
O 0.172 0.391 0.069 x2
O 0.189 0.053 0.165 x2
O 0.192 0.868 0.737 x2
O 0.242 0.744 0.892 x2
O 0.311 0.955 0.331 x2
O 0.315 0.770 0.046 x2
O 0.319 0.146 0.757 x2
O 0.377 0.311 0.192 x2
O 0.422 0.033 0.917 x2
O 0.457 0.243 0.354 x2
O 0.485 0.848 0.492 x2

Values from the calculation:
density: 5.7 g cm⁻³

---

2.
The following is a DFT calculation (meta-GGA SCAN) of a PBEsol-optimized structure of Nd3TaCl3O6.

Cell lengths 9.3274, 9.3274, 5.2440 Å; angles 90.00, 90.00, 120.00 degrees
Space group P6_3/m (No. 176)
One atom of each set of equivalent atoms:
Nd 0.0915 0.4022 0.2500 x6
Ta 0.3333 0.6667 0.7500 x2
Cl 0.0522 0.2392 0.7500 x6
O 0.1564 0.6378 0.5103 x12

Values from the calculation:
density: 6.9 g cm⁻³

---

3.
The following is a DFT calculation (meta-GGA SCAN) of a PBEsol-optimized structure of Nd3TaCl6O4.

Cell lengths 12.6081, 12.6081, 3.9213 Å; angles 90.00, 90.00, 120.00 degrees
Space group P6_3/m (No. 176)
One atom of each set of equivalent atoms:
Nd 0.1130 0.3935 0.2500 x6
Ta 0.3333 0.6667 0.7500 x2
Cl 0.0716 0.6284 0.2500 x6
Cl 0.1000 0.8548 0.7500 x6
O 0.1983 0.5050 0.7500 x6
O 0.3333 0.6667 0.2500 x2

Values from the calculation:
density: 5.5 g cm⁻³

---

4.
The following is a DFT calculation (meta-GGA SCAN) of a PBEsol-optimized structure of Nd3WCl3O6.

Cell lengths 9.2104, 9.2104, 5.3148 Å; angles 90.00, 90.00, 120.00 degrees
Space group P6_3/m (No. 176)
One atom of each set of equivalent atoms:
Nd 0.0916 0.6879 0.2500 x6
W 0.3333 0.6667 0.7500 x2
Cl 0.0492 0.8094 0.7500 x6
O 0.1598 0.5223 0.5168 x12

Values from the calculation:
density: 7.0 g cm⁻³

---

Q: Which energy relative to the elements, uncorrected values were calculated for the entries above? A: -2.64 -3.14 -2.98 -3.11, in eV per atom.